Density functional theory data (GGA-PBE) for a relaxed La6SiNi2Cl3 crystal.

Geometry as POSCAR:
```
La6SiNi2Cl3
1.0
9.239 -2.120 0.000
9.239 2.120 0.000
-2.377 0.000 8.462
La Si Ni Cl
6 1 2 3
Direct
0.016 0.016 0.244
0.322 0.322 0.432
0.334 0.334 0.905
0.666 0.666 0.095
0.678 0.678 0.568
0.984 0.984 0.756
0.500 0.500 0.000
0.172 0.172 0.334
0.828 0.828 0.666
0.156 0.156 0.826
0.500 0.500 0.500
0.844 0.844 0.174
```

Properties
SG = C2/m (12)
Theoretical density = 5.44 Mg/m³
VASP energy = -5.39 eV per atom

=====

Density functional theory data (GGA-PBE) for a relaxed LaTaNi2Cl crystal.

Geometry as POSCAR:
```
LaTaNi2Cl
1.0
4.315 0.000 0.000
0.000 4.315 0.000
0.000 0.000 5.200
La Ta Ni Cl
1 1 2 1
Direct
0.000 0.000 0.000
0.500 0.500 0.000
0.000 0.500 0.500
0.500 0.000 0.500
0.000 0.000 0.500
```

Properties
SG = P4/mmm (123)
Theoretical density = 8.11 Mg/m³
VASP energy = -5.39 eV per atom

=====

Density functional theory data (GGA-PBE) for a relaxed La6TcNi2Cl3 crystal.

Geometry as POSCAR:
```
La6TcNi2Cl3
1.0
9.694 -2.067 0.000
9.694 2.067 0.000
-3.272 0.000 8.399
La Tc Ni Cl
6 1 2 3
Direct
0.008 0.008 0.223
0.325 0.325 0.443
0.347 0.347 0.898
0.653 0.653 0.102
0.675 0.675 0.557
0.992 0.992 0.777
0.500 0.500 0.000
0.170 0.170 0.341
0.830 0.830 0.659
0.164 0.164 0.830
0.500 0.500 0.500
0.836 0.836 0.170
```

Properties
SG = C2/m (12)
Theoretical density = 5.70 Mg/m³
VASP energy = -5.68 eV per atom

=====

Density functional theory data (GGA-PBE) for a relaxed La4TcNiCl2 crystal.

Geometry as POSCAR:
```
La4TcNiCl2
1.0
7.000 0.000 0.000
0.000 4.154 0.000
-2.396 0.000 7.725
La Tc Ni Cl
4 1 1 2
Direct
0.230 0.000 0.210
0.260 0.500 0.797
0.740 0.500 0.203
0.770 0.000 0.790
0.000 0.500 0.000
0.500 0.000 0.000
0.000 0.000 0.500
0.500 0.500 0.500
```

Properties
SG = P2/m (10)
Theoretical density = 5.79 Mg/m³
VASP energy = -5.83 eV per atom

=====

Density functional theory data (GGA-PBE) for a relaxed La3NpCl2O6 crystal.

Geometry as POSCAR:
```
La3NpCl2O6
1.0
6.349 -3.514 0.000
6.349 3.514 0.000
-1.034 0.000 5.480
La Np Cl O
3 1 2 6
Direct
0.000 0.000 0.000
0.000 0.500 0.500
0.500 0.000 0.500
0.500 0.500 0.500
0.205 0.205 0.870
0.795 0.795 0.130
0.189 0.677 0.699
0.323 0.811 0.301
0.340 0.340 0.341
0.660 0.660 0.659
0.677 0.189 0.699
0.811 0.323 0.301
```

Properties
SG = C2/m (12)
Theoretical density = 5.57 Mg/m³
VASP energy = -7.96 eV per atom

=====

Density functional theory data (GGA-PBE) for a relaxed LaNpClO4 crystal.

Geometry as POSCAR:
```
LaNpClO4
1.0
6.317 -3.580 0.000
6.317 3.580 0.000
-0.529 0.000 6.418
La Np Cl O
2 2 2 8
Direct
0.184 0.184 0.438
0.816 0.816 0.562
0.368 0.368 0.904
0.632 0.632 0.096
0.036 0.036 0.756
0.964 0.964 0.244
0.116 0.489 0.686
0.253 0.253 0.066
0.489 0.116 0.686
0.497 0.497 0.203
0.503 0.503 0.797
0.511 0.884 0.314
0.747 0.747 0.934
0.884 0.511 0.314
```

Properties
SG = C2/m (12)
Theoretical density = 5.44 Mg/m³
VASP energy = -8.39 eV per atom

=====

Density functional theory data (GGA-PBE) for a relaxed La2ClO crystal.

Geometry as POSCAR:
```
La2ClO
1.0
0.000 3.423 3.423
3.423 0.000 3.423
3.423 3.423 0.000
La Cl O
2 1 1
Direct
0.250 0.250 0.250
0.750 0.750 0.750
0.000 0.000 0.000
0.500 0.500 0.500
```

Properties
SG = Fm-3m (225)
Theoretical density = 6.82 Mg/m³
VASP energy = -5.70 eV per atom

=====

Density functional theory data (GGA-PBE) for a relaxed La2Cl3O crystal.

Geometry as POSCAR:
```
La2Cl3O
1.0
8.053 -2.091 0.000
8.053 2.091 0.000
-5.017 0.000 9.470
La Cl O
4 6 2
Direct
0.089 0.089 0.450
0.366 0.366 0.211
0.634 0.634 0.789
0.911 0.911 0.550
0.163 0.163 0.009
0.270 0.270 0.384
0.449 0.449 0.764
0.551 0.551 0.236
0.730 0.730 0.616
0.837 0.837 0.991
0.081 0.081 0.668
0.919 0.919 0.332
```

Properties
SG = C2/m (12)
Theoretical density = 4.17 Mg/m³
VASP energy = -6.06 eV per atom